No. 1
Sr8In2Hg3 (PBE-GGA, relaxed); total magnetization = 0.00 μB per cell; calculated formation energy = -32.1 kJ/mol of atoms; crystal system = orthorhombic
1.0
5.702 0.000 0.000
0.000 9.183 3.495
0.000 -0.289 9.821
Sr In Hg
8 2 3
direct
0.000 0.373 0.373
0.000 0.627 0.627
0.000 0.876 0.876
0.000 0.124 0.124
0.500 0.373 0.878
0.500 0.878 0.373
0.500 0.122 0.627
0.500 0.627 0.122
0.500 0.749 0.749
0.500 0.251 0.251
0.500 0.000 0.000
0.000 0.748 0.252
0.000 0.252 0.748



No. 2
TaGaRe2 (PBE-GGA, relaxed); total magnetization = 0.01 μB per cell; calculated formation energy = -3.3 kJ/mol of atoms; crystal system = tetragonal
1.0
3.250 0.000 0.000
0.000 4.381 0.000
0.000 0.000 4.381
Re Ga Ta
2 1 1
direct
0.000 0.000 0.500
0.000 0.500 0.000
0.500 0.000 0.000
0.500 0.500 0.500



No. 3
TiNbNi2 (PBE-GGA, relaxed); total magnetization = 0.00 μB per cell; calculated formation energy = -20.8 kJ/mol of atoms; crystal system = tetragonal
1.0
3.753 0.000 0.000
0.000 3.853 0.000
0.000 0.000 3.853
Ni Nb Ti
2 1 1
direct
0.000 0.000 0.500
0.000 0.500 0.000
0.500 0.500 0.500
0.500 0.000 0.000



No. 4
CeZnGe2Pd2 (PBE-GGA, relaxed); total magnetization = 0.32 μB per cell; calculated formation energy = -62.7 kJ/mol of atoms; crystal system = trigonal
1.0
-1.085 1.741 3.773
-1.068 -4.067 -0.875
5.930 -2.137 2.692
Ce Zn Ge Pd
1 1 2 2
direct
0.000 0.000 0.000
0.000 0.000 0.500
0.667 0.333 0.249
0.333 0.667 0.751
0.667 0.333 0.638
0.333 0.667 0.362



No. 5
NdNb4Ge2 (PBE-GGA, relaxed); total magnetization = 0.00 μB per cell; calculated formation energy = -10.3 kJ/mol of atoms; crystal system = orthorhombic
1.0
4.629 0.000 0.000
0.000 4.699 -1.035
0.000 -0.900 7.098
Nb Nd Ge
4 1 2
direct
0.500 0.811 0.623
0.000 0.704 0.409
0.500 0.189 0.377
0.000 0.296 0.591
0.000 0.000 0.000
0.500 0.599 0.197
0.500 0.401 0.803



No. 6
Ce2SmIn2Ag2 (PBE-GGA, relaxed); total magnetization = 1.43 μB per cell; calculated formation energy = -24.1 kJ/mol of atoms; crystal system = trigonal
1.0
-1.425 -2.190 -3.980
-2.838 -3.813 0.266
-8.615 3.328 -1.594
Ce Sm In Ag
2 1 2 2
direct
0.142 0.142 0.575
0.858 0.858 0.425
0.000 0.000 0.000
0.734 0.734 0.798
0.266 0.266 0.202
0.584 0.584 0.247
0.416 0.416 0.753



No. 7
SiRu3Pb (PBE-GGA, relaxed); total magnetization = 0.00 μB per cell; ΔE to the lowest computed polymorph = 0.0 meV per atom; formation energy (no corrections) = 0.50 eV per atom; crystal system = cubic
1.0
-1.857 -3.213 2.438
1.442 -3.036 -2.902
3.767 -0.422 2.313
Pb Ru Si
1 3 1
direct
0.500 0.500 0.500
0.000 0.500 0.000
0.000 0.000 0.500
0.500 0.000 0.000
0.000 0.000 0.000



No. 8
Si2TcWCl (PBE-GGA, relaxed); total magnetization = 2.09 μB per cell; formation energy (no corrections) = 0.89 eV per atom; crystal system = tetragonal
1.0
-2.942 3.312 -1.287
-2.908 -1.061 3.918
2.325 3.058 2.554
Si Tc W Cl
2 1 1 1
direct
0.000 0.000 0.500
0.500 0.000 0.000
0.000 0.000 0.000
0.000 0.500 0.000
0.500 0.500 0.500



No. 9
PrAl4Rh2 (PBE-GGA, relaxed); total magnetization = 0.00 μB per cell; calculated formation energy = -72.4 kJ/mol of atoms; crystal system = orthorhombic
1.0
4.327 0.000 0.000
0.000 6.636 0.000
0.000 0.000 17.389
Pr Rh Al
4 8 16
direct
0.750 0.990 0.637
0.250 0.010 0.363
0.250 0.490 0.863
0.750 0.510 0.137
0.250 0.747 0.537
0.750 0.253 0.463
0.750 0.247 0.963
0.250 0.753 0.037
0.250 0.983 0.784
0.750 0.017 0.216
0.750 0.483 0.716
0.250 0.517 0.284
0.250 0.283 0.694
0.750 0.717 0.306
0.750 0.783 0.806
0.250 0.217 0.194
0.250 0.683 0.689
0.750 0.317 0.311
0.750 0.183 0.811
0.250 0.817 0.189
0.250 0.172 0.533
0.750 0.828 0.467
0.750 0.672 0.967
0.250 0.328 0.033
0.250 0.499 0.427
0.750 0.501 0.573
0.750 0.999 0.073
0.250 0.001 0.927



No. 10
Cd2AsSe (PBE-GGA, relaxed); total magnetization = 0.00 μB per cell; ΔE to the lowest computed polymorph = 419.3 meV per atom; formation energy (no corrections) = 0.24 eV per atom; crystal system = trigonal
1.0
10.422 -0.024 -0.014
9.919 3.201 -0.014
9.919 1.549 2.801
As Se Cd
1 1 2
direct
0.735 0.735 0.735
0.516 0.516 0.516
0.998 0.998 0.998
0.252 0.252 0.252



No. 11
Pm2Co3Ge4Au (PBE-GGA, relaxed); total magnetization = 1.13 μB per cell; calculated formation energy = -53.3 kJ/mol of atoms; crystal system = tetragonal
1.0
-4.043 0.974 -0.476
-1.076 -3.835 1.289
-0.323 3.240 9.371
Pm Co Ge Au
2 3 4 1
direct
0.500 0.000 0.239
0.000 0.500 0.761
0.000 0.000 0.500
0.500 0.000 0.883
0.000 0.500 0.117
0.500 0.500 0.000
0.000 0.000 0.000
0.500 0.000 0.650
0.000 0.500 0.350
0.500 0.500 0.500



No. 12
Mo2PtCl (PBE-GGA, relaxed); total magnetization = 0.00 μB per cell; ΔE to the lowest computed polymorph = 558.3 meV per atom; formation energy (no corrections) = 0.61 eV per atom; crystal system = monoclinic
1.0
-0.466 -1.773 4.779
4.165 -1.946 -2.252
1.953 1.494 1.250
Cl Mo Pt
1 2 1
direct
0.000 0.500 0.500
0.000 0.000 0.000
0.500 0.500 0.000
0.500 0.000 0.500



No. 13
Al2ZnCd (PBE-GGA, relaxed); total magnetization = 0.00 μB per cell; ΔE to the lowest computed polymorph = 151.4 meV per atom; calculated formation energy = 20.0 kJ/mol of atoms; crystal system = cubic
1.0
0.000 3.346 3.346
3.346 0.000 3.346
3.346 3.346 0.000
Zn Al Cd
1 2 1
direct
0.000 0.000 0.000
0.250 0.250 0.250
0.750 0.750 0.750
0.500 0.500 0.500



No. 14
GaIrO2F (PBE-GGA, relaxed); total magnetization = 0.39 μB per cell; formation energy (no corrections) = -0.79 eV per atom; crystal system = tetragonal
1.0
-0.548 0.108 3.653
3.631 -0.405 0.556
0.777 6.844 -0.086
Ir O Ga F
1 2 1 1
direct
0.000 0.000 0.000
0.000 0.500 0.000
0.500 0.000 0.000
0.500 0.500 0.500
0.000 0.000 0.500



No. 15
Nd9Os2Br14 (PBE-GGA, relaxed); total magnetization = 4.25 μB per cell; formation energy (no corrections) = -1.25 eV per atom; crystal system = trigonal
1.0
-5.796 -4.730 4.773
1.840 -2.361 -8.354
8.967 -6.999 3.954
Nd Os Br
9 2 14
direct
0.282 0.909 0.342
0.091 0.372 0.342
0.333 0.667 0.036
0.000 0.000 0.000
0.372 0.282 0.658
0.628 0.718 0.342
0.667 0.333 0.964
0.909 0.628 0.658
0.718 0.091 0.658
0.333 0.667 0.256
0.667 0.333 0.744
0.049 0.693 0.908
0.315 0.914 0.597
0.086 0.401 0.597
0.000 0.000 0.257
0.000 0.000 0.743
0.307 0.356 0.908
0.644 0.951 0.908
0.401 0.315 0.403
0.599 0.685 0.597
0.356 0.049 0.092
0.693 0.644 0.092
0.914 0.599 0.403
0.685 0.086 0.403
0.951 0.307 0.092



No. 16
PmTmGa4 (PBE-GGA, relaxed); total magnetization = 0.00 μB per cell; ΔE to the lowest computed polymorph = 23.1 meV per atom; calculated formation energy = -59.5 kJ/mol of atoms; crystal system = orthorhombic
1.0
3.934 0.000 1.686
1.725 5.394 1.407
-0.169 0.267 5.827
Pm Tm Ga
1 1 4
direct
0.442 0.058 0.058
0.562 0.438 0.438
0.161 0.638 0.041
0.838 0.855 0.470
0.838 0.470 0.855
0.161 0.041 0.638



No. 17
La2Si4IrPt3 (PBE-GGA, relaxed); total magnetization = 0.00 μB per cell; formation energy (no corrections) = -1.11 eV per atom; crystal system = tetragonal
1.0
-0.269 3.978 1.458
-2.849 -1.251 2.888
7.452 -1.891 6.532
La Si Ir Pt
2 4 1 3
direct
0.500 0.000 0.244
0.000 0.500 0.756
0.500 0.500 0.000
0.000 0.000 0.000
0.500 0.000 0.631
0.000 0.500 0.369
0.500 0.500 0.500
0.000 0.000 0.500
0.500 0.000 0.878
0.000 0.500 0.122



No. 18
LiGeB (PBE-GGA, relaxed); total magnetization = 0.00 μB per cell; calculated formation energy = 5.4 kJ/mol of atoms; crystal system = hexagonal
1.0
-2.511 2.344 -1.160
-0.235 -3.503 -0.904
-3.259 -1.053 4.925
Ge B Li
2 2 2
direct
0.333 0.667 0.458
0.667 0.333 0.958
0.333 0.667 0.077
0.667 0.333 0.577
0.000 0.000 0.715
0.000 0.000 0.215



No. 19
CaMgTi3 (PBE-GGA, relaxed); total magnetization = 3.43 μB per cell; ΔE to the lowest computed polymorph = 440.9 meV per atom; calculated formation energy = 151.8 kJ/mol of atoms; crystal system = cubic
1.0
-4.839 -0.095 0.048
0.011 -2.623 -4.067
0.106 -4.066 2.623
Ca Mg Ti
1 1 3
direct
0.000 0.000 0.000
0.500 0.500 0.500
0.000 0.500 0.000
0.000 0.000 0.500
0.500 0.000 0.000



No. 20
ScNiGePt (PBE-GGA, relaxed); total magnetization = 0.00 μB per cell; calculated formation energy = -64.8 kJ/mol of atoms; crystal system = cubic
1.0
-3.034 -0.184 3.228
-3.991 -1.753 -0.807
-1.107 -3.905 1.782
Sc Ni Ge Pt
1 1 1 1
direct
0.750 0.750 0.750
0.000 0.000 0.000
0.250 0.250 0.250
0.500 0.500 0.500



No. 21
AlTcRu (PBE-GGA, relaxed); total magnetization = 0.00 μB per cell; ΔE to the lowest computed polymorph = 140.2 meV per atom; calculated formation energy = -24.9 kJ/mol of atoms; crystal system = orthorhombic
1.0
-4.660 0.474 0.055
-2.691 -2.780 -2.641
3.284 0.107 3.339
Ru Tc Al
1 1 1
direct
0.332 0.332 0.000
0.669 0.669 0.000
0.999 0.999 0.000



No. 22
Co3H (PBE-GGA, relaxed); total magnetization = 9.03 μB per cell; ΔE to the lowest computed polymorph = 0.0 meV per atom; crystal system = hexagonal
1.0
-0.835 -0.098 -2.399
2.046 -1.341 0.689
-7.216 -9.522 2.901
H Co
2 6
direct
0.000 0.000 0.000
0.000 0.000 0.500
0.333 0.667 0.089
0.667 0.333 0.589
0.333 0.667 0.411
0.667 0.333 0.911
0.333 0.667 0.750
0.667 0.333 0.250



No. 23
ZrGaOs (PBE-GGA, relaxed); total magnetization = 0.00 μB per cell; calculated formation energy = -32.6 kJ/mol of atoms; crystal system = monoclinic
1.0
5.567 0.000 -0.003
0.000 4.646 0.000
-1.709 0.000 8.143
Zr Ga Os
4 4 4
direct
0.650 0.000 0.961
0.650 0.500 0.461
0.256 0.000 0.576
0.256 0.500 0.076
0.338 0.000 0.260
0.338 0.500 0.760
0.793 0.000 0.651
0.793 0.500 0.151
0.158 0.000 0.889
0.158 0.500 0.389
0.829 0.000 0.322
0.829 0.500 0.822



No. 24
Ag2AsP (PBE-GGA, relaxed); total magnetization = 0.00 μB per cell; ΔE to the lowest computed polymorph = 156.2 meV per atom; calculated formation energy = 33.3 kJ/mol of atoms; crystal system = orthorhombic
1.0
-2.231 0.743 4.572
1.127 -3.827 3.242
2.881 3.031 -2.990
Ag As P
2 1 1
direct
0.999 0.999 0.000
0.501 0.501 0.000
0.250 0.750 0.500
0.750 0.250 0.500



No. 25
BeCdTc2I (PBE-GGA, relaxed); total magnetization = 3.49 μB per cell; formation energy (no corrections) = 1.24 eV per atom; crystal system = tetragonal
1.0
-0.639 -1.498 -4.128
2.855 -3.786 0.932
-3.523 -2.315 1.385
I Be Tc Cd
1 1 2 1
direct
0.000 0.500 0.000
0.000 0.000 0.000
0.000 0.000 0.500
0.500 0.000 0.000
0.500 0.500 0.500